Here is Rb2TbSO6 after structural relaxation from Alexandria. Energies are from GGA-PBE.

Results
E_form (uncorrected), eV per atom: -1.604
DFT total energy, eV for the cell shown: -56.48

Cell: 5.627 6.397 6.397 Å, 120.00 90.00 90.00°
Fractional coordinates of all 10 atoms:
O 0.176 0.876 0.124
O 0.176 0.876 0.751
O 0.176 0.249 0.124
O 0.824 0.751 0.876
O 0.824 0.124 0.876
O 0.824 0.124 0.249
S 0.000 0.000 0.000
Tb 0.500 0.000 0.000
Rb 0.884 0.667 0.333
Rb 0.116 0.333 0.667


Here is HfScCo2 after structural relaxation from Alexandria. Energies are from GGA-PBE.

Results
E_form, meV per atom: -406
Energy above the lowest structure with this stoichiometry, meV per atom: 0.0
DFT total energy, eV for the cell shown: -32.12

Cell: 3.139 3.139 6.283 Å, 90.00 90.00 90.00°
Fractional coordinates of all 4 atoms:
Co 0.000 0.000 0.241
Co 0.000 0.000 0.759
Sc 0.500 0.500 0.500
Hf 0.500 0.500 0.000


Here is TaAgCl after structural relaxation from Alexandria. Energies are from GGA-PBE.

Results
Energy above the lowest structure with this stoichiometry, meV per atom: 1251.5
E_form (uncorrected), eV per atom: 1.117
DFT total energy, eV for the cell shown: -13.20

Cell: 4.315 4.315 4.315 Å, 60.00 60.00 60.00°
Fractional coordinates of all 3 atoms:
Ta 0.000 0.000 0.000
Ag 0.500 0.500 0.500
Cl 0.750 0.750 0.750


Here is NiCN2 after structural relaxation from Alexandria. Energies are from GGA-PBE.

Results
E_form (uncorrected), eV per atom: 0.549
DFT total energy, eV for the cell shown: -58.92

Cell: 4.166 4.166 4.466 Å, 62.19 62.19 90.00°
Fractional coordinates of all 8 atoms:
C 0.500 0.500 0.000
C 0.250 0.750 0.500
Ni 0.000 0.000 0.000
Ni 0.750 0.250 0.500
N 0.211 0.625 0.250
N 0.539 0.125 0.250
N 0.875 0.789 0.750
N 0.375 0.461 0.750


Here is TlRhBr after structural relaxation from Alexandria. Energies are from GGA-PBE.

Results
Energy above the lowest structure with this stoichiometry, meV per atom: 16.5
E_form (uncorrected), eV per atom: 0.192
DFT total energy, eV for the cell shown: -10.81

Cell: 4.651 4.651 4.651 Å, 60.00 60.00 60.00°
Fractional coordinates of all 3 atoms:
Rh 0.750 0.750 0.750
Br 0.500 0.500 0.500
Tl 0.000 0.000 0.000


Here is ScAl2Sb after structural relaxation from Alexandria. Energies are from GGA-PBE.

Results
E_form (uncorrected), eV per atom: -0.186
DFT total energy, eV for the cell shown: -18.68

Cell: 3.838 3.838 5.631 Å, 90.00 90.00 90.00°
Fractional coordinates of all 4 atoms:
Al 0.000 0.000 0.508
Al 0.000 0.000 0.992
Sb 0.500 0.500 0.250
Sc 0.500 0.500 0.750


Here is KNiMo after structural relaxation from Alexandria. Energies are from GGA-PBE.

Results
E_form, meV per atom: 948
Energy above the lowest structure with this stoichiometry, meV per atom: 149.2
DFT total energy, eV for the cell shown: -14.87

Cell: 2.916 2.916 7.761 Å, 90.00 90.00 120.00°
Fractional coordinates of all 3 atoms:
Ni 0.333 0.667 0.627
Mo 0.667 0.333 0.390
K 0.000 0.000 0.983


Here is CaPm5In4 after structural relaxation from Alexandria. Energies are from GGA-PBE.

Results
E_form, meV per atom: -368
DFT total energy, eV for the cell shown: -40.39

Cell: 3.673 3.673 22.579 Å, 90.00 90.00 90.00°
Fractional coordinates of all 10 atoms:
Pm 0.500 0.500 0.129
Pm 0.500 0.500 0.871
Pm 0.500 0.500 0.687
Pm 0.500 0.500 0.313
Pm 0.500 0.500 0.500
In 0.000 0.000 0.594
In 0.000 0.000 0.219
In 0.000 0.000 0.781
In 0.000 0.000 0.406
Ca 0.000 0.000 0.000


Here is TiV after structural relaxation from Alexandria. Energies are from GGA-PBE.

Results
E_form, meV per atom: 2145
DFT total energy, eV for the cell shown: -50.90

Cell: 5.792 5.792 5.792 Å, 90.00 90.00 90.00°
Fractional coordinates of all 8 atoms:
V 0.500 0.500 0.000
V 0.000 0.500 0.500
V 0.000 0.000 0.000
V 0.500 0.000 0.500
Ti 0.750 0.750 0.250
Ti 0.250 0.750 0.750
Ti 0.750 0.250 0.750
Ti 0.250 0.250 0.250


Here is TbPuHf2N4 after structural relaxation from Alexandria. Energies are from GGA-PBE.

Results
E_form (uncorrected), eV per atom: -1.669
DFT total energy, eV for the cell shown: -85.52

Cell: 3.318 5.858 5.736 Å, 70.95 90.00 90.00°
Fractional coordinates of all 8 atoms:
Hf 0.000 0.000 0.000
Hf 0.500 0.000 0.500
N 0.500 0.222 0.759
N 0.000 0.777 0.741
N 0.000 0.223 0.259
N 0.500 0.778 0.241
Pu 0.500 0.500 0.000
Tb 0.000 0.500 0.500


Here is La2PrErSb4 after structural relaxation from Alexandria. Energies are from GGA-PBE.

Results
E_form (uncorrected), eV per atom: -1.201
DFT total energy, eV for the cell shown: -45.29

Cell: 4.549 7.861 7.869 Å, 70.48 90.00 90.00°
Fractional coordinates of all 8 atoms:
Er 0.000 0.500 0.500
Pr 0.500 0.500 0.000
Sb 0.000 0.743 0.746
Sb 0.500 0.739 0.260
Sb 0.000 0.257 0.254
Sb 0.500 0.261 0.740
La 0.500 0.000 0.500
La 0.000 0.000 0.000


Here is AcCdSnAu6 after structural relaxation from Alexandria. Energies are from GGA-PBE.

Results
E_form, meV per atom: -142
DFT total energy, eV for the cell shown: -59.94

Cell: 5.679 9.569 9.882 Å, 118.95 106.70 90.00°
Fractional coordinates of all 18 atoms:
Au 0.590 0.846 0.688
Au 0.293 0.543 0.585
Au 0.590 0.342 0.688
Au 0.896 0.146 0.792
Au 0.410 0.154 0.312
Au 0.902 0.154 0.312
Au 0.707 0.457 0.415
Au 0.410 0.658 0.312
Au 0.902 0.658 0.312
Au 0.104 0.854 0.208
Au 0.098 0.846 0.688
Au 0.098 0.342 0.688
Sn 0.500 0.500 0.000
Sn 0.500 0.000 0.000
Cd 0.500 0.000 0.500
Cd 0.000 0.000 0.500
Ac 0.078 0.328 0.157
Ac 0.922 0.672 0.843


M_tot in μB per formula unit, matching the order above: 1.04, 0.45, 0.00, 0.00, 0.00, 0.00, 0.00, 0.00, 4.92, 5.07, 0.00, 0.00